LaOs2Pt | Alexandria via LeMat-Bulk | PBE-GGA | optimized geometry; space group = C2/m, No. 12; theoretical density = 16.5 Mg/m³; crystal system = monoclinic; E_form = 355.2 meV/atom
1.0
4.977 -0.001 -0.004
-2.398 5.204 -0.007
0.181 0.809 2.778
Pt Os La
1 2 1
direct
0.000 0.500 0.500 Pt
0.500 0.000 0.500 Os
0.000 0.000 0.000 Os
0.500 0.500 0.000 La